Record 1
# SnPbI2

SnPbI2 after structural relaxation (PBE, Alexandria via LeMat-Bulk).

- M_tot (Bohr magnetons per cell) = 0.0
- space-group type = Fm-3m (225)
- formation energy from raw total energies (eV per atom) = -0.03

Cell and atoms, written as CIF:
```
data_SnPbI2
_chemical_formula_sum 'Sn1 Pb1 I2'
_cell_length_a 5.7146
_cell_length_b 5.7146
_cell_length_c 5.7146
_cell_angle_alpha 60.00
_cell_angle_beta 60.00
_cell_angle_gamma 60.00
_space_group_name_H-M_alt 'P 1'
_space_group_IT_number 1
loop_
_space_group_symop_operation_xyz
'x,y,z'
loop_
_atom_site_label
_atom_site_fract_x
_atom_site_fract_y
_atom_site_fract_z
_atom_site_occupancy
Sn1 0.0000 0.0000 0.0000 1
Pb1 0.5000 0.5000 0.5000 1
I1 0.2500 0.2500 0.2500 1
I2 0.7500 0.7500 0.7500 1
```

Record 2
# La4HgPbC

La4HgPbC after structural relaxation (PBE, Alexandria via LeMat-Bulk).

- M_tot (Bohr magnetons per cell) = 0.0
- E_form (eV per atom) = -0.368
- space-group type = Cmcm (63)

Cell and atoms, written as CIF:
```
data_La4HgPbC
_chemical_formula_sum 'La8 Hg2 Pb2 C2'
_cell_length_a 8.7377
_cell_length_b 8.7377
_cell_length_c 7.4737
_cell_angle_alpha 90.00
_cell_angle_beta 90.00
_cell_angle_gamma 129.31
_space_group_name_H-M_alt 'P 1'
_space_group_IT_number 1
loop_
_space_group_symop_operation_xyz
'x,y,z'
loop_
_atom_site_label
_atom_site_fract_x
_atom_site_fract_y
_atom_site_fract_z
_atom_site_occupancy
La1 0.0000 0.5000 0.0000 1
La2 0.0000 0.5000 0.5000 1
La3 0.0828 0.9172 0.7500 1
La4 0.4117 0.5883 0.7500 1
La5 0.5000 0.0000 0.0000 1
La6 0.5000 0.0000 0.5000 1
La7 0.5883 0.4117 0.2500 1
La8 0.9172 0.0828 0.2500 1
Hg1 0.1183 0.8817 0.2500 1
Hg2 0.8817 0.1183 0.7500 1
Pb1 0.3811 0.6189 0.2500 1
Pb2 0.6189 0.3811 0.7500 1
C1 0.2484 0.7516 0.7500 1
C2 0.7516 0.2484 0.2500 1
```

Record 3
# La2HgOs

La2HgOs after structural relaxation (PBE, Alexandria via LeMat-Bulk).

- M_tot (Bohr magnetons per cell) = 0.0
- E_form (eV per atom) = -0.235
- space-group type = Pmmm (47)

Cell and atoms, written as CIF:
```
data_La2HgOs
_chemical_formula_sum 'La2 Hg1 Os1'
_cell_length_a 3.5421
_cell_length_b 3.5624
_cell_length_c 8.3610
_cell_angle_alpha 90.00
_cell_angle_beta 90.00
_cell_angle_gamma 90.00
_space_group_name_H-M_alt 'P 1'
_space_group_IT_number 1
loop_
_space_group_symop_operation_xyz
'x,y,z'
loop_
_atom_site_label
_atom_site_fract_x
_atom_site_fract_y
_atom_site_fract_z
_atom_site_occupancy
La1 0.0000 0.0000 0.2109 1
La2 0.0000 0.0000 0.7891 1
Hg1 0.5000 0.5000 0.5000 1
Os1 0.5000 0.5000 0.0000 1
```

Record 4
# Na2Al2Ga

Na2Al2Ga after structural relaxation (PBE, Alexandria via LeMat-Bulk).

- M_tot (Bohr magnetons per cell) = 0.0
- E_form (eV per atom) = 0.318
- space-group type = I4/mmm (139)

Cell and atoms, written as CIF:
```
data_Na2Al2Ga
_chemical_formula_sum 'Na2 Al2 Ga1'
_cell_length_a 7.8340
_cell_length_b 7.8340
_cell_length_c 7.8340
_cell_angle_alpha 150.49
_cell_angle_beta 150.49
_cell_angle_gamma 42.23
_space_group_name_H-M_alt 'P 1'
_space_group_IT_number 1
loop_
_space_group_symop_operation_xyz
'x,y,z'
loop_
_atom_site_label
_atom_site_fract_x
_atom_site_fract_y
_atom_site_fract_z
_atom_site_occupancy
Na1 0.2500 0.7500 0.5000 1
Na2 0.7500 0.2500 0.5000 1
Al1 0.0862 0.0862 0.0000 1
Al2 0.9138 0.9138 0.0000 1
Ga1 0.5000 0.5000 0.0000 1
```